Entry 1:
A geometry-optimized HfMg14Cr structure, computed with PBE.

Calculated values
* crystal system: orthorhombic
* energy above the lowest structure with this stoichiometry: 0.00 eV/f.u.

a b c (Å): 10.206 6.356 6.356
angles (deg): 58.98 90.00 90.00
Sites, in units of the cell vectors:
Hf: 0.000 0.000 0.000
Mg: 0.000 0.006 0.494
Mg: 0.000 0.494 0.006
Mg: 0.237 0.657 0.657
Mg: 0.243 0.163 0.664
Mg: 0.243 0.664 0.163
Mg: 0.249 0.159 0.159
Mg: 0.500 0.496 0.496
Mg: 0.500 0.498 0.994
Mg: 0.500 0.994 0.498
Mg: 0.500 0.995 0.995
Mg: 0.751 0.159 0.159
Mg: 0.757 0.163 0.664
Mg: 0.757 0.664 0.163
Mg: 0.763 0.657 0.657
Cr: 0.000 0.494 0.494

Entry 2:
A geometry-optimized HfMg3Cr structure, computed with PBE.

Calculated values
* crystal system: cubic
* energy above the lowest structure with this stoichiometry: 0.00 eV/f.u.

a b c (Å): 4.890 4.890 4.890
angles (deg): 90.00 90.00 90.00
Sites, in units of the cell vectors:
Hf: 0.000 0.000 0.000
Mg: 0.000 0.500 0.500
Mg: 0.500 0.000 0.500
Mg: 0.500 0.500 0.000
Cr: 0.500 0.500 0.500

Entry 3:
A geometry-optimized HfMg6Cr structure, computed with PBE.

Calculated values
* crystal system: orthorhombic
* energy above the lowest structure with this stoichiometry: 0.19 eV/f.u.

a b c (Å): 5.028 6.116 11.123
angles (deg): 90.00 90.00 90.00
Sites, in units of the cell vectors:
Hf: 0.000 0.000 0.000
Hf: 0.000 0.500 0.500
Mg: 0.000 0.248 0.249
Mg: 0.000 0.252 0.749
Mg: 0.000 0.748 0.749
Mg: 0.000 0.752 0.249
Mg: 0.500 0.000 0.157
Mg: 0.500 0.000 0.647
Mg: 0.500 0.250 0.411
Mg: 0.500 0.250 0.911
Mg: 0.500 0.500 0.147
Mg: 0.500 0.500 0.657
Mg: 0.500 0.750 0.411
Mg: 0.500 0.750 0.911
Cr: 0.000 0.000 0.492
Cr: 0.000 0.500 0.992